DFT (PBE) results for crystalline MnZnTc at its relaxed geometry.

The structure belongs to space group Fmm2 (No. 42); the cell edges are 3.2064, 4.1760 and 12.3726 Å and the angles 90.00°, 90.00° and 90.00°. Symmetry generates all atoms from Mn at (0.0000, 0.0000, 0.0000), Zn at (0.0000, 0.0000, 0.3347) and Tc at (0.0000, 0.0000, 0.6573).

For the density of states at the Fermi level, the calculation gives 0.7086 states/eV/atom. The value obtained for the energy above the most stable polymorph in this dataset is 0.1090 eV/atom.